HfB2O2 | PBE | relaxed

```
5
Lattice="-2.151 0.735 1.458 1.122 -1.086 2.203 3.230 7.277 3.598" Properties=species:S:1:pos:R:3 pbc="T T T"
O -0.015 0.819 2.066
O 2.215 6.107 5.192
B 1.918 3.007 3.816
B 0.282 3.918 3.443
Hf 0.000 0.000 0.000
```

Calculated values
As for the total magnetization: 0.0 μB per cell. Its excess energy over the best structure of this formula in the dataset is 81.8 meV per atom. The calculation puts the total energy at -7.306 eV per atom. Its density of states at the Fermi level is 1.6 states/eV/cell. Its mass density is 6.20 g/cm3. Its symmetry is I4/mmm (139).